Entry 1:
The following is a PBE calculation of a geometry-optimized MoRhI3 structure, from Alexandria.

Output
Total energy (eV per atom): -3.424
Polymorph energy (0 for the lowest one) (meV/atom): 283.2
Formation energy from raw total energies (meV per atom): 1143

a = 5.4203 Å, b = 5.4203 Å, c = 5.4203 Å
α = 90.00°, β = 90.00°, γ = 90.00°
Fractional positions:
Mo 0.0000 0.0000 0.0000
Rh 0.5000 0.5000 0.5000
I 0.0000 0.0000 0.5000
I 0.0000 0.5000 0.0000
I 0.5000 0.0000 0.0000

Entry 2:
The following is a PBE calculation of a geometry-optimized NiTeP2Pt structure, from Alexandria.

Output
Total energy (eV per atom): -5.357
Polymorph energy (0 for the lowest one) (meV/atom): 99.0
Formation energy from raw total energies (meV per atom): -201

a = 11.2362 Å, b = 3.6568 Å, c = 4.8295 Å
α = 90.00°, β = 112.76°, γ = 90.00°
Fractional positions:
Ni 0.0000 0.0000 0.0000
Ni 0.5000 0.5000 0.0000
Te 0.1234 0.5000 0.8120
Te 0.6234 0.0000 0.8120
P 0.3178 0.5000 0.6024
P 0.4586 0.0000 0.2102
P 0.8178 0.0000 0.6024
P 0.9586 0.5000 0.2102
Pt 0.2606 0.0000 0.2735
Pt 0.7606 0.5000 0.2735

Entry 3:
The following is a PBE calculation of a geometry-optimized AcLa2Cu structure, from Alexandria.

Output
Total energy (eV per atom): -4.569
Polymorph energy (0 for the lowest one) (meV/atom): 8.5

a = 3.7559 Å, b = 3.7559 Å, c = 9.2025 Å
α = 90.00°, β = 90.00°, γ = 90.00°
Fractional positions:
Ac 0.0000 0.0000 0.0000
La 0.5000 0.5000 0.3148
La 0.5000 0.5000 0.6852
Cu 0.0000 0.0000 0.5000

Entry 4:
The following is a PBE calculation of a geometry-optimized TbPm7Dy12 structure, from Alexandria.

Output
Total energy (eV per atom): -4.010
Polymorph energy (0 for the lowest one) (meV/atom): 412.0

a = 9.7883 Å, b = 9.7883 Å, c = 9.7883 Å
α = 109.47°, β = 109.47°, γ = 109.47°
Fractional positions:
Tb 0.0000 0.0000 0.0000
Pm 0.0000 0.0000 0.5000
Pm 0.0000 0.5000 0.0000
Pm 0.0000 0.5000 0.5000
Pm 0.5000 0.0000 0.0000
Pm 0.5000 0.0000 0.5000
Pm 0.5000 0.5000 0.0000
Pm 0.5000 0.5000 0.5000
Dy 0.0000 0.2477 0.7523
Dy 0.0000 0.7523 0.2477
Dy 0.2477 0.0000 0.7523
Dy 0.2477 0.2477 0.4955
Dy 0.2477 0.4955 0.2477
Dy 0.2477 0.7523 0.0000
Dy 0.4955 0.2477 0.2477
Dy 0.5045 0.7523 0.7523
Dy 0.7523 0.0000 0.2477
Dy 0.7523 0.2477 0.0000
Dy 0.7523 0.5045 0.7523
Dy 0.7523 0.7523 0.5045

Entry 5:
The following is a PBE calculation of a geometry-optimized HoBiAu2O8 structure, from Alexandria.

Output
Total energy (eV per atom): -5.285
Formation energy from raw total energies (meV per atom): -729

a = 6.4729 Å, b = 6.4729 Å, c = 6.4729 Å
α = 129.61°, β = 129.61°, γ = 74.03°
Fractional positions:
Ho 0.0000 0.0000 0.0000
Bi 0.7500 0.2500 0.5000
Au 0.2500 0.7500 0.5000
Au 0.5000 0.5000 0.0000
O 0.0619 0.0307 0.6832
O 0.1268 0.3297 0.5404
O 0.3476 0.3787 0.3168
O 0.4136 0.8732 0.2029
O 0.6213 0.9381 0.9689
O 0.6703 0.2107 0.7971
O 0.7893 0.5864 0.4596
O 0.9693 0.6524 0.0311

Entry 6:
The following is a PBE calculation of a geometry-optimized Cu2SiPt5 structure, from Alexandria.

Output
Total energy (eV per atom): -5.834
Formation energy from raw total energies (meV per atom): -357

a = 5.4419 Å, b = 10.3974 Å, c = 4.0664 Å
α = 90.00°, β = 90.00°, γ = 90.00°
Fractional positions:
Cu 0.1661 0.1423 0.0000
Cu 0.3339 0.6423 0.0000
Cu 0.6661 0.3577 0.0000
Cu 0.8339 0.8577 0.0000
Si 0.0000 0.5000 0.5000
Si 0.5000 0.0000 0.5000
Pt 0.0000 0.0000 0.5000
Pt 0.0821 0.7314 0.5000
Pt 0.1846 0.3986 0.0000
Pt 0.3154 0.8986 0.0000
Pt 0.4179 0.2314 0.5000
Pt 0.5000 0.5000 0.5000
Pt 0.5821 0.7686 0.5000
Pt 0.6846 0.1014 0.0000
Pt 0.8154 0.6014 0.0000
Pt 0.9179 0.2686 0.5000

Entry 7:
The following is a PBE calculation of a geometry-optimized BTeRu2 structure, from Alexandria.

Output
Total energy (eV per atom): -6.488
Polymorph energy (0 for the lowest one) (meV/atom): 297.7
Formation energy from raw total energies (meV per atom): 604

a = 6.0776 Å, b = 6.0776 Å, c = 6.0776 Å
α = 90.00°, β = 90.00°, γ = 90.00°
Fractional positions:
B 0.0000 0.0000 0.0000
B 0.0000 0.5000 0.5000
B 0.5000 0.0000 0.5000
B 0.5000 0.5000 0.0000
Te 0.0000 0.0000 0.5000
Te 0.0000 0.5000 0.0000
Te 0.5000 0.0000 0.0000
Te 0.5000 0.5000 0.5000
Ru 0.2500 0.2500 0.2500
Ru 0.2500 0.2500 0.7500
Ru 0.2500 0.7500 0.2500
Ru 0.2500 0.7500 0.7500
Ru 0.7500 0.2500 0.2500
Ru 0.7500 0.2500 0.7500
Ru 0.7500 0.7500 0.2500
Ru 0.7500 0.7500 0.7500

Entry 8:
The following is a PBE calculation of a geometry-optimized Mg2ScAg structure, from Alexandria.

Output
Total energy (eV per atom): -3.111

a = 3.1699 Å, b = 3.1699 Å, c = 29.8876 Å
α = 90.00°, β = 90.00°, γ = 120.00°
Fractional positions:
Mg 0.0000 0.0000 0.0000
Mg 0.0000 0.0000 0.2442
Mg 0.3333 0.6667 0.6667
Mg 0.3333 0.6667 0.9109
Mg 0.6667 0.3333 0.3333
Mg 0.6667 0.3333 0.5775
Sc 0.0000 0.0000 0.4901
Sc 0.3333 0.6667 0.1568
Sc 0.6667 0.3333 0.8235
Ag 0.0000 0.0000 0.7436
Ag 0.3333 0.6667 0.4103
Ag 0.6667 0.3333 0.0769

Entry 9:
The following is a PBE calculation of a geometry-optimized MgP2SF structure, from Alexandria.

Output
Total energy (eV per atom): -3.429
Polymorph energy (0 for the lowest one) (meV/atom): 0.0
Formation energy from raw total energies (meV per atom): 254

a = 3.9768 Å, b = 3.9768 Å, c = 5.9139 Å
α = 90.00°, β = 90.00°, γ = 90.00°
Fractional positions:
Mg 0.0000 0.0000 0.0000
P 0.0000 0.5000 0.5000
P 0.5000 0.0000 0.5000
S 0.5000 0.5000 0.0000
F 0.5000 0.5000 0.5000

Entry 10:
The following is a PBE calculation of a geometry-optimized Sc2GaNiPb structure, from Alexandria.

Output
Total energy (eV per atom): -4.422
Polymorph energy (0 for the lowest one) (meV/atom): 674.2

a = 5.4138 Å, b = 5.4138 Å, c = 4.7524 Å
α = 90.00°, β = 90.00°, γ = 90.00°
Fractional positions:
Sc 0.0000 0.5000 0.0000
Sc 0.5000 0.0000 0.0000
Ga 0.0000 0.0000 0.5000
Ni 0.5000 0.5000 0.5000
Pb 0.5000 0.5000 0.0000

Entry 11:
The following is a PBE calculation of a geometry-optimized Sm3Ni7Ge4 structure, from Alexandria.

Output
Total energy (eV per atom): -5.791

a = 7.7735 Å, b = 7.7735 Å, c = 8.9827 Å
α = 124.18°, β = 124.18°, γ = 30.45°
Fractional positions:
Sm 0.0000 0.0000 0.0000
Sm 0.3170 0.3170 0.3124
Sm 0.6830 0.6830 0.6876
Ni 0.0000 0.0000 0.5000
Ni 0.1265 0.1265 0.8537
Ni 0.3214 0.3214 0.6867
Ni 0.4979 0.4979 0.7170
Ni 0.5021 0.5021 0.2830
Ni 0.6786 0.6786 0.3133
Ni 0.8735 0.8735 0.1463
Ge 0.1218 0.1218 0.4003
Ge 0.3311 0.3311 0.9745
Ge 0.6689 0.6689 0.0255
Ge 0.8782 0.8782 0.5997

Entry 12:
The following is a PBE calculation of a geometry-optimized Ge2C2I structure, from Alexandria.

Output
Total energy (eV per atom): -4.606
Polymorph energy (0 for the lowest one) (meV/atom): 0.0
Formation energy from raw total energies (meV per atom): 1241

a = 9.0256 Å, b = 9.0256 Å, c = 3.0733 Å
α = 90.00°, β = 90.00°, γ = 90.00°
Fractional positions:
Ge 0.1231 0.3769 0.0000
Ge 0.3769 0.8769 0.0000
Ge 0.6231 0.1231 0.0000
Ge 0.8769 0.6231 0.0000
C 0.0532 0.5532 0.5000
C 0.4468 0.0532 0.5000
C 0.5532 0.9468 0.5000
C 0.9468 0.4468 0.5000
I 0.0000 0.0000 0.0000
I 0.5000 0.5000 0.0000

What is the total energy in the seventh record?
-6.488 eV per atom